No. 1
A relaxed LaTa2InIr crystal, computed with PBE-GGA.

Unit cell a=4.8872 b=5.4500 c=4.8872 alpha=90.00 beta=90.00 gamma=90.00
Fractional coordinates of all 5 atoms:
In 0.0000 0.5000 0.0000
Ir 0.5000 0.5000 0.5000
La 0.0000 0.0000 0.0000
Ta 0.0000 0.0000 0.5000
Ta 0.5000 0.0000 0.0000

## Properties
The calculation puts the calculated formation energy at 2.53 eV per atom.

***

No. 2
A relaxed TaInRh crystal, computed with PBE-GGA.

Unit cell a=4.5786 b=4.5786 c=2.9174 alpha=90.00 beta=90.00 gamma=120.00
Fractional coordinates of all 3 atoms:
Ta 0.3333 0.6667 0.5896
In 0.0000 0.0000 0.0592
Rh 0.6667 0.3333 0.3512

## Properties
The calculation puts the calculated formation energy at -0.10 eV per atom.

***

No. 3
A relaxed KReSi3 crystal, computed with PBE-GGA.

Unit cell a=4.9669 b=4.9669 c=4.9669 alpha=90.00 beta=90.00 gamma=90.00
Last column: magnetic moment on the atom in μB.
Fractional coordinates of all 5 atoms:
Re 0.5000 0.5000 0.5000  3.04
K 0.0000 0.0000 0.0000  -0.04
Si 0.0000 0.5000 0.0000  -0.08
Si 0.0000 0.0000 0.5000  -0.06
Si 0.5000 0.0000 0.0000  -0.04

## Properties
The value obtained for the energy relative to the elements, uncorrected is 2.941 eV/atom. The energy above the most stable polymorph in this dataset comes out at 2.6562 eV/atom.

***

No. 4
A relaxed YMn2Ru crystal, computed with PBE-GGA.

Unit cell a=5.5979 b=5.5979 c=5.5979 alpha=42.82 beta=42.82 gamma=42.82
Last column: magnetic moment on the atom in μB.
Fractional coordinates of all 4 atoms:
Mn 0.9433 0.9433 0.9433  -2.75
Mn 0.2719 0.2719 0.2719  2.76
Ru 0.5354 0.5354 0.5354  -0.11
Y 0.7493 0.7493 0.7493  -0.04

## Properties
The energy above the most stable polymorph in this dataset comes out at 0.0000 eV/atom. The calculation puts the calculated formation energy at 0.09 eV per atom.

***

No. 5
A relaxed ScReAg2 crystal, computed with PBE-GGA.

Unit cell a=2.7761 b=2.7761 c=9.0118 alpha=90.00 beta=90.00 gamma=90.05
Last column: magnetic moment on the atom in μB.
Fractional coordinates of all 4 atoms:
Ag 0.0000 0.0000 0.0052  0.00
Ag 0.0000 0.0000 0.4948  0.00
Re 0.5000 0.5000 0.2500  0.00
Sc 0.5000 0.5000 0.7500  0.10

## Properties
The energy above the most stable polymorph in this dataset comes out at 0.2341 eV/atom. The calculation puts the calculated formation energy at 0.43 eV per atom.

***

No. 6
A relaxed La3UO6 crystal, computed with PBE-GGA.

Unit cell a=7.1184 b=7.1184 c=7.1184 alpha=90.56 beta=90.56 gamma=90.56
Last column: magnetic moment on the atom in μB.
Fractional coordinates of all 20 atoms:
La 0.4622 0.9398 0.7542  0.10
La 0.9398 0.7542 0.4622  0.10
La 0.2458 0.5378 0.0602  0.10
La 0.7542 0.4622 0.9398  0.10
La 0.0602 0.2458 0.5378  0.10
La 0.5378 0.0602 0.2458  0.10
U 0.0000 0.0000 0.0000  2.38
U 0.5000 0.5000 0.5000  1.81
O 0.3102 0.8917 0.0520  -0.01
O 0.1083 0.9480 0.6898  -0.01
O 0.5841 0.7995 0.4600  -0.02
O 0.9480 0.6898 0.1083  -0.01
O 0.4600 0.5841 0.7995  -0.02
O 0.2005 0.5400 0.4159  -0.02
O 0.7995 0.4600 0.5841  -0.02
O 0.5400 0.4159 0.2005  -0.02
O 0.0520 0.3102 0.8917  -0.01
O 0.4159 0.2005 0.5400  -0.02
O 0.8917 0.0520 0.3102  -0.01
O 0.6898 0.1083 0.9480  -0.01

## Properties
The value obtained for the energy relative to the elements, uncorrected is -3.245 eV/atom.

***

No. 7
A relaxed Sc2Pd2Pt crystal, computed with PBE-GGA.

Unit cell a=5.3872 b=6.0809 c=7.0731 alpha=115.46 beta=112.38 gamma=90.00
Fractional coordinates of all 10 atoms:
Sc 0.3349 0.5539 0.6698
Sc 0.6651 0.4461 0.3302
Sc 0.1651 0.8840 0.3302
Sc 0.8349 0.1160 0.6698
Pd 0.8942 0.7472 0.7883
Pd 0.1058 0.2528 0.2117
Pd 0.6058 0.9589 0.2117
Pd 0.3942 0.0411 0.7883
Pt 0.7500 0.5000 0.0000
Pt 0.2500 0.5000 0.0000

## Properties
The energy above the most stable polymorph in this dataset comes out at 0.0726 eV/atom. The calculation puts the calculated formation energy at -0.80 eV per atom.

***

No. 8
A relaxed Ta3AgAs crystal, computed with PBE-GGA.

Unit cell a=4.7354 b=4.7354 c=4.7354 alpha=90.00 beta=90.00 gamma=90.00
Fractional coordinates of all 5 atoms:
As 0.0000 0.0000 0.0000
Ag 0.5000 0.5000 0.5000
Ta 0.0000 0.5000 0.0000
Ta 0.0000 0.0000 0.5000
Ta 0.5000 0.0000 0.0000

## Properties
The energy above the most stable polymorph in this dataset comes out at 0.0000 eV/atom. The calculation puts the calculated formation energy at 1.00 eV per atom.

***

No. 9
A relaxed CuPd6Pt crystal, computed with PBE-GGA.

Unit cell a=6.8938 b=7.2507 c=4.9939 alpha=43.72 beta=46.43 gamma=58.42
Fractional coordinates of all 8 atoms:
Cu 0.5000 0.5000 0.5000
Pd 0.9665 0.4809 0.8027
Pd 0.7497 0.9659 0.7672
Pd 0.4827 0.2502 0.2970
Pd 0.2503 0.0341 0.2328
Pd 0.0335 0.5191 0.1973
Pd 0.5173 0.7498 0.7030
Pt 0.0000 0.0000 0.0000

## Properties
The energy above the most stable polymorph in this dataset comes out at 0.1300 eV/atom. The calculation puts the calculated formation energy at 0.09 eV per atom.

***

No. 10
A relaxed TaHg2Au crystal, computed with PBE-GGA.

Unit cell a=6.4433 b=6.4433 c=6.4433 alpha=154.29 beta=132.37 gamma=54.91
Fractional coordinates of all 4 atoms:
Au 0.2832 0.7832 0.5000
Hg 0.0081 0.0081 0.0000
Hg 0.7180 0.2180 0.5000
Ta 0.4907 0.4907 0.0000

## Properties
The energy above the most stable polymorph in this dataset comes out at 0.1423 eV/atom. The calculation puts the calculated formation energy at 0.32 eV per atom.

***

No. 11
A relaxed Fe4IrRh15 crystal, computed with PBE-GGA.

Unit cell a=3.8231 b=3.8231 c=19.0097 alpha=90.00 beta=90.00 gamma=90.00
Last column: magnetic moment on the atom in μB.
Fractional coordinates of all 20 atoms:
Fe 0.0000 0.0000 0.2024  3.03
Fe 0.0000 0.0000 0.4005  3.08
Fe 0.0000 0.0000 0.5995  3.08
Fe 0.0000 0.0000 0.7976  3.03
Ir 0.0000 0.0000 0.0000  -0.16
Rh 0.5000 0.5000 0.0000  -0.08
Rh 0.5000 0.5000 0.2007  0.22
Rh 0.5000 0.5000 0.4003  0.26
Rh 0.5000 0.5000 0.5997  0.26
Rh 0.5000 0.5000 0.7993  0.22
Rh 0.5000 0.0000 0.1011  0.06
Rh 0.5000 0.0000 0.3005  0.28
Rh 0.5000 0.0000 0.5000  0.25
Rh 0.5000 0.0000 0.6995  0.28
Rh 0.5000 0.0000 0.8989  0.06
Rh 0.0000 0.5000 0.1011  0.06
Rh 0.0000 0.5000 0.3005  0.28
Rh 0.0000 0.5000 0.5000  0.25
Rh 0.0000 0.5000 0.6995  0.28
Rh 0.0000 0.5000 0.8989  0.06

## Properties
The calculation puts the calculated formation energy at -0.04 eV per atom.

***

No. 12
A relaxed KNa3Sn crystal, computed with PBE-GGA.

Unit cell a=5.8546 b=5.8546 c=5.8546 alpha=90.00 beta=90.00 gamma=90.00
Fractional coordinates of all 5 atoms:
Na 0.0000 0.5000 0.0000
Na 0.0000 0.0000 0.5000
Na 0.5000 0.0000 0.0000
K 0.0000 0.0000 0.0000
Sn 0.5000 0.5000 0.5000

## Properties
The energy above the most stable polymorph in this dataset comes out at 0.6477 eV/atom. The calculation puts the calculated formation energy at 0.55 eV per atom.

***

No. 13
A relaxed AgIrCl crystal, computed with PBE-GGA.

Unit cell a=6.5147 b=6.5147 c=6.5147 alpha=153.94 beta=153.94 gamma=37.19
Last column: magnetic moment on the atom in μB.
Fractional coordinates of all 3 atoms:
Ir 0.6718 0.6718 0.0000  0.95
Ag 0.0134 0.0134 0.0000  0.04
Cl 0.3147 0.3147 0.0000  0.14

## Properties
The value obtained for the energy relative to the elements, uncorrected is 0.711 eV/atom. The energy above the most stable polymorph in this dataset comes out at 0.6124 eV/atom.

***

No. 14
A relaxed CdIn4Hg2 crystal, computed with PBE-GGA.

Unit cell a=4.9758 b=4.9758 c=9.5792 alpha=74.95 beta=74.95 gamma=60.00
Fractional coordinates of all 7 atoms:
Cd 0.0000 0.0000 0.0000
In 0.8705 0.8705 0.3884
In 0.1295 0.1295 0.6116
In 0.6239 0.6239 0.1282
In 0.3761 0.3761 0.8718
Hg 0.7576 0.7576 0.7273
Hg 0.2424 0.2424 0.2727

## Properties
The energy above the most stable polymorph in this dataset comes out at 0.0203 eV/atom. The calculation puts the calculated formation energy at 0.05 eV per atom.

***

No. 15
A relaxed Mg2PtBr crystal, computed with PBE-GGA.

Unit cell a=3.1621 b=3.5114 c=7.5289 alpha=89.73 beta=90.00 gamma=90.00
Fractional coordinates of all 4 atoms:
Br 0.5000 0.7500 0.7500
Mg 0.0000 0.7524 0.0526
Mg 0.0000 0.7476 0.4474
Pt 0.5000 0.2500 0.2500

## Properties
The value obtained for the energy relative to the elements, uncorrected is -0.793 eV/atom. The energy above the most stable polymorph in this dataset comes out at 0.0137 eV/atom.

***

No. 16
A relaxed Ho2FeRe3 crystal, computed with PBE-GGA.

Unit cell a=5.2950 b=5.2950 c=5.4236 alpha=90.01 beta=119.23 gamma=119.97
Last column: magnetic moment on the atom in μB.
Fractional coordinates of all 6 atoms:
Ho 0.7507 0.3754 0.1261  -0.13
Ho 0.2493 0.6246 0.8739  -0.13
Fe 0.0000 0.0000 0.0000  2.25
Re 0.5000 0.5000 0.5000  0.10
Re 0.0000 0.0000 0.5000  0.10
Re 0.5000 0.0000 0.5000  0.09

## Properties
The calculation puts the calculated formation energy at -0.19 eV per atom.

***

No. 17
A relaxed Hf2ZrNbAl crystal, computed with PBE-GGA.

Unit cell a=4.9617 b=5.0060 c=4.9617 alpha=90.00 beta=90.00 gamma=90.00
Fractional coordinates of all 5 atoms:
Nb 0.0000 0.0000 0.0000
Hf 0.0000 0.0000 0.5000
Hf 0.5000 0.0000 0.0000
Al 0.0000 0.5000 0.0000
Zr 0.5000 0.5000 0.5000

## Properties
The calculation puts the calculated formation energy at 0.81 eV per atom.

***

No. 18
A relaxed BeFeW2 crystal, computed with PBE-GGA.

Unit cell a=2.7562 b=2.7562 c=6.6846 alpha=90.00 beta=90.00 gamma=90.00
Fractional coordinates of all 4 atoms:
Be 0.0000 0.0000 0.5430
Fe 0.5000 0.5000 0.7130
W 0.0000 0.0000 0.9517
W 0.5000 0.5000 0.2923

## Properties
The calculation puts the calculated formation energy at 0.07 eV per atom.

***

No. 19
A relaxed Mg3InPb4 crystal, computed with PBE-GGA.

Unit cell a=3.5729 b=5.5385 c=11.0177 alpha=90.00 beta=90.00 gamma=90.00
Fractional coordinates of all 8 atoms:
Pb 0.0000 0.0000 0.5000
Pb 0.0000 0.5000 0.7384
Pb 0.0000 0.0000 0.0000
Pb 0.0000 0.5000 0.2616
Mg 0.5000 0.0000 0.2498
Mg 0.5000 0.5000 0.5000
Mg 0.5000 0.0000 0.7502
In 0.5000 0.5000 0.0000

## Properties
The energy above the most stable polymorph in this dataset comes out at 0.0000 eV/atom. The calculation puts the calculated formation energy at -0.02 eV per atom.

***

No. 20
A relaxed PrSbF crystal, computed with PBE-GGA.

Unit cell a=4.5449 b=4.5449 c=5.3305 alpha=115.23 beta=115.23 gamma=90.00
Last column: magnetic moment on the atom in μB.
Fractional coordinates of all 3 atoms:
Pr 0.3434 0.3434 0.6868  0.01
Sb 0.9066 0.9066 0.8133  0.06
F 0.6000 0.6000 0.1999  0.01

## Properties
The value obtained for the energy relative to the elements, uncorrected is -1.563 eV/atom. The energy above the most stable polymorph in this dataset comes out at 0.6277 eV/atom.

***

No. 21
A relaxed YCu2Ge crystal, computed with PBE-GGA.

Unit cell a=3.9312 b=3.9312 c=9.2850 alpha=90.00 beta=90.00 gamma=90.00
Fractional coordinates of all 8 atoms:
Y 0.5000 0.0000 0.2359
Y 0.0000 0.5000 0.7641
Cu 0.5000 0.0000 0.9296
Cu 0.0000 0.5000 0.0704
Cu 0.0000 0.0000 0.5000
Cu 0.5000 0.5000 0.5000
Ge 0.5000 0.0000 0.6602
Ge 0.0000 0.5000 0.3398

## Properties
The calculation puts the calculated formation energy at -0.36 eV per atom.

***

No. 22
A relaxed GaCoCu3 crystal, computed with PBE-GGA.

Unit cell a=4.4299 b=4.4299 c=4.4299 alpha=90.00 beta=90.00 gamma=90.00
Last column: magnetic moment on the atom in μB.
Fractional coordinates of all 5 atoms:
Co 0.0000 0.0000 0.0000  1.48
Cu 0.0000 0.5000 0.0000  0.08
Cu 0.0000 0.0000 0.5000  0.21
Cu 0.5000 0.0000 0.0000  0.04
Ga 0.5000 0.5000 0.5000  -0.01

## Properties
The energy above the most stable polymorph in this dataset comes out at 0.0000 eV/atom. The calculation puts the calculated formation energy at 0.89 eV per atom.

***

No. 23
A relaxed LaNpFeN3 crystal, computed with PBE-GGA.

Unit cell a=3.4029 b=7.3361 c=7.2979 alpha=102.30 beta=90.00 gamma=90.00
Last column: magnetic moment on the atom in μB.
Fractional coordinates of all 12 atoms:
La 0.7500 0.8192 0.7862  0.03
La 0.2500 0.1808 0.2138  0.03
Np 0.2500 0.6593 0.1740  2.58
Np 0.7500 0.3407 0.8260  2.58
Fe 0.2500 0.0859 0.5813  0.46
Fe 0.7500 0.9141 0.4187  0.46
N 0.2500 0.8232 0.5095  -0.03
N 0.7500 0.8635 0.1456  -0.10
N 0.7500 0.4372 0.1372  -0.13
N 0.7500 0.1768 0.4905  -0.03
N 0.2500 0.5628 0.8628  -0.13
N 0.2500 0.1365 0.8544  -0.10

## Properties
The value obtained for the energy relative to the elements, uncorrected is -0.891 eV/atom.

***

No. 24
A relaxed K4Sm3NpTe8 crystal, computed with PBE-GGA.

Unit cell a=9.1589 b=9.7817 c=9.1584 alpha=117.92 beta=120.00 gamma=90.00
Last column: magnetic moment on the atom in μB.
Fractional coordinates of all 16 atoms:
K 0.5000 0.0000 0.0000  0.00
K 0.5000 0.0000 0.5000  0.00
K 0.0000 0.0000 0.0000  0.00
K 0.0000 0.0000 0.5000  0.00
Sm 0.5000 0.5000 0.0000  0.02
Sm 0.5000 0.5000 0.5000  0.02
Sm 0.0000 0.5000 0.5000  0.02
Np 0.0000 0.5000 0.0000  3.95
Te 0.2372 0.7114 0.9743  -0.02
Te 0.2373 0.7115 0.4745  -0.02
Te 0.2623 0.2871 0.5247  0.00
Te 0.7371 0.7114 0.9743  -0.02
Te 0.2629 0.2886 0.0257  -0.02
Te 0.7377 0.7129 0.4753  0.00
Te 0.7627 0.2885 0.5255  -0.02
Te 0.7628 0.2886 0.0257  -0.02

## Properties
The value obtained for the energy relative to the elements, uncorrected is -1.277 eV/atom.

***

No. 25
A relaxed RhPbOF2 crystal, computed with PBE-GGA.

Unit cell a=4.4323 b=4.4323 c=3.8729 alpha=90.00 beta=90.00 gamma=90.00
Fractional coordinates of all 5 atoms:
Pb 0.5000 0.5000 0.5000
Rh 0.0000 0.0000 0.0000
O 0.0000 0.0000 0.5000
F 0.0000 0.5000 0.0000
F 0.5000 0.0000 0.0000

## Properties
The value obtained for the energy relative to the elements, uncorrected is -1.064 eV/atom. The energy above the most stable polymorph in this dataset comes out at 0.0000 eV/atom.

***

No. 26
A relaxed BaPrSnHg crystal, computed with PBE-GGA.

Unit cell a=5.7342 b=5.7342 c=5.7342 alpha=60.00 beta=60.00 gamma=60.00
Fractional coordinates of all 4 atoms:
Pr 0.0000 0.0000 0.0000
Hg 0.2500 0.2500 0.2500
Sn 0.7500 0.7500 0.7500
Ba 0.5000 0.5000 0.5000

## Properties
The calculation puts the calculated formation energy at -0.51 eV per atom.

***

Number 1: M_tot 0.0 μB/f.u.. Number 2: M_tot 0.0 μB/f.u.. Number 3: M_tot 3.0 μB/f.u.. Number 4: M_tot 0.2 μB/f.u.. Number 5: M_tot 0.1 μB/f.u.. Number 6: M_tot 3.0 μB/f.u.. Number 7: M_tot 0.0 μB/f.u.. Number 8: M_tot 0.0 μB/f.u.. Number 9: M_tot 0.0 μB/f.u.. Number 10: M_tot 0.0 μB/f.u.. Number 11: M_tot 14.7 μB/f.u.. Number 12: M_tot 0.0 μB/f.u.. Number 13: M_tot 1.2 μB/f.u.. Number 14: M_tot 0.0 μB/f.u.. Number 15: M_tot 0.0 μB/f.u.. Number 16: M_tot 2.3 μB/f.u.. Number 17: M_tot 0.0 μB/f.u.. Number 18: M_tot 0.0 μB/f.u.. Number 19: M_tot 0.0 μB/f.u.. Number 20: M_tot 0.2 μB/f.u.. Number 21: M_tot 0.0 μB/f.u.. Number 22: M_tot 1.7 μB/f.u.. Number 23: M_tot 2.9 μB/f.u.. Number 24: M_tot 4.0 μB/f.u.. Number 25: M_tot 0.0 μB/f.u.. Number 26: M_tot 0.0 μB/f.u..